{"formula": "CaTa2Ru3", "functional": "PBE-GGA", "state": "optimized geometry", "total_energy_ev_per_fu": -55.39, "e_form_ev_per_atom": -0.31, "lattice_angstrom": [[3.194, 0.000, 0.000], [0.000, 3.194, 0.000], [0.000, 0.000, 10.268]], "species": ["Ca", "Ta", "Ta", "Ru", "Ru", "Ru"], "frac_coords": [[0.000, 0.000, 0.000], [0.000, 0.000, 0.339], [0.000, 0.000, 0.661], [0.500, 0.500, 0.206], [0.500, 0.500, 0.500], [0.500, 0.500, 0.794]]}



{"formula": "DySiNi4", "functional": "PBE-GGA", "state": "optimized geometry", "relative_energy_ev_per_atom": 0.0000, "raw_formation_energy_ev_per_atom": -0.616, "total_energy_ev_per_fu": -36.85, "lattice_angstrom": [[2.531, -4.092, 0.000], [2.531, 4.092, 0.000], [0.000, 0.000, 3.947]], "species": ["Dy", "Si", "Ni", "Ni", "Ni", "Ni"], "frac_coords": [[0.000, 0.000, 0.000], [0.500, 0.500, 0.500], [0.000, 0.500, 0.500], [0.342, 0.658, 0.000], [0.500, 0.000, 0.500], [0.658, 0.342, 0.000]]}



{"formula": "TaAgBiIr2", "functional": "PBE-GGA", "state": "optimized geometry", "total_energy_ev_per_fu": -26.07, "e_form_ev_per_atom": 2.05, "lattice_angstrom": [[4.838, 0.000, 0.000], [0.000, 4.838, 0.000], [0.000, 0.000, 4.940]], "species": ["Ta", "Ag", "Bi", "Ir", "Ir"], "frac_coords": [[0.000, 0.000, 0.000], [0.500, 0.500, 0.500], [0.500, 0.500, 0.000], [0.000, 0.500, 0.500], [0.500, 0.000, 0.500]]}



{"formula": "RbNb3Hg", "functional": "PBE-GGA", "state": "optimized geometry", "relative_energy_ev_per_atom": 0.5271, "total_energy_ev_per_fu": -18.52, "e_form_ev_per_atom": 2.59, "lattice_angstrom": [[4.806, 0.000, 0.000], [0.000, 4.806, 0.000], [0.000, 0.000, 4.806]], "species": ["Rb", "Nb", "Nb", "Nb", "Hg"], "frac_coords": [[0.000, 0.000, 0.000], [0.000, 0.000, 0.500], [0.000, 0.500, 0.000], [0.500, 0.000, 0.000], [0.500, 0.500, 0.500]]}



{"formula": "PaInNiOs", "functional": "PBE-GGA", "state": "optimized geometry", "total_energy_ev_per_fu": -29.72, "e_form_ev_per_atom": -0.12, "lattice_angstrom": [[0.000, 3.337, 3.337], [3.337, 0.000, 3.337], [3.337, 3.337, 0.000]], "species": ["Pa", "In", "Ni", "Os"], "frac_coords": [[0.000, 0.000, 0.000], [0.500, 0.500, 0.500], [0.250, 0.250, 0.250], [0.750, 0.750, 0.750]]}



{"formula": "Na2CrCl", "functional": "PBE-GGA", "state": "optimized geometry", "relative_energy_ev_per_atom": 0.2544, "raw_formation_energy_ev_per_atom": -0.259, "total_energy_ev_per_fu": -15.15, "lattice_angstrom": [[3.476, 0.000, 0.000], [1.720, 6.885, 0.000], [1.729, 2.849, 8.526]], "species": ["Na", "Na", "Na", "Na", "Cr", "Cr", "Cl", "Cl"], "frac_coords": [[0.000, 0.000, 0.000], [0.063, 0.304, 0.567], [0.767, 0.589, 0.875], [0.833, 0.882, 0.452], [0.266, 0.270, 0.196], [0.581, 0.604, 0.236], [0.390, 0.582, 0.635], [0.617, 0.013, 0.751]]}



{"formula": "TcCl", "functional": "PBE-GGA", "state": "optimized geometry", "relative_energy_ev_per_atom": 0.2284, "raw_formation_energy_ev_per_atom": 0.102, "total_energy_ev_per_fu": -12.01, "lattice_angstrom": [[5.736, -1.577, 0.000], [5.736, 1.577, 0.000], [-5.658, 0.000, 7.267]], "species": ["Tc", "Tc", "Tc", "Cl", "Cl", "Cl"], "frac_coords": [[0.000, 0.000, 0.000], [0.007, 0.007, 0.243], [0.314, 0.314, 0.978], [0.282, 0.282, 0.216], [0.559, 0.559, 0.808], [0.666, 0.666, 0.501]]}



{"formula": "HoPuMgRu", "functional": "PBE-GGA", "state": "optimized geometry", "total_energy_ev_per_fu": -29.88, "e_form_ev_per_atom": -0.02, "lattice_angstrom": [[0.000, 3.530, 3.530], [3.530, 0.000, 3.530], [3.530, 3.530, 0.000]], "species": ["Ho", "Pu", "Mg", "Ru"], "frac_coords": [[0.000, 0.000, 0.000], [0.500, 0.500, 0.500], [0.250, 0.250, 0.250], [0.750, 0.750, 0.750]]}



{"formula": "Sm8GePb2", "functional": "PBE-GGA", "state": "optimized geometry", "total_energy_ev_per_fu": -53.40, "e_form_ev_per_atom": -0.33, "lattice_angstrom": [[9.892, -2.578, 0.000], [9.892, 2.578, 0.000], [-1.652, 0.000, 6.692]], "species": ["Sm", "Sm", "Sm", "Sm", "Sm", "Sm", "Sm", "Sm", "Ge", "Pb", "Pb"], "frac_coords": [[0.017, 0.017, 0.275], [0.217, 0.217, 0.827], [0.349, 0.349, 0.493], [0.411, 0.411, 0.034], [0.589, 0.589, 0.966], [0.651, 0.651, 0.507], [0.783, 0.783, 0.173], [0.983, 0.983, 0.725], [0.500, 0.500, 0.500], [0.180, 0.180, 0.263], [0.820, 0.820, 0.737]]}



{"formula": "CsUCo2Cl8", "functional": "PBE-GGA", "state": "optimized geometry", "raw_formation_energy_ev_per_atom": -1.205, "total_energy_ev_per_fu": -55.58, "lattice_angstrom": [[3.257, 1.880, 10.367], [-3.257, 1.880, 10.367], [0.000, -3.760, 10.367]], "species": ["Cs", "U", "Co", "Co", "Cl", "Cl", "Cl", "Cl", "Cl", "Cl", "Cl", "Cl"], "frac_coords": [[0.000, 0.000, 0.000], [0.500, 0.500, 0.500], [0.243, 0.243, 0.243], [0.757, 0.757, 0.757], [0.115, 0.779, 0.452], [0.221, 0.548, 0.885], [0.314, 0.314, 0.314], [0.452, 0.115, 0.779], [0.548, 0.885, 0.221], [0.686, 0.686, 0.686], [0.779, 0.452, 0.115], [0.885, 0.221, 0.548]]}



{"formula": "Nd2P4IrRh3", "functional": "PBE-GGA", "state": "optimized geometry", "total_energy_ev_per_fu": -72.77, "e_form_ev_per_atom": -1.07, "lattice_angstrom": [[4.165, 0.000, 0.000], [0.000, 4.165, 0.000], [0.000, 0.000, 9.622]], "species": ["Nd", "Nd", "P", "P", "P", "P", "Ir", "Rh", "Rh", "Rh"], "frac_coords": [[0.000, 0.500, 0.242], [0.500, 0.000, 0.758], [0.000, 0.000, 0.000], [0.000, 0.500, 0.639], [0.500, 0.000, 0.361], [0.500, 0.500, 0.000], [0.000, 0.000, 0.500], [0.000, 0.500, 0.887], [0.500, 0.000, 0.113], [0.500, 0.500, 0.500]]}



{"formula": "Na2In2F7", "functional": "PBE-GGA", "state": "optimized geometry", "raw_formation_energy_ev_per_atom": -2.469, "total_energy_ev_per_fu": -48.38, "lattice_angstrom": [[3.664, -4.036, 0.000], [3.664, 4.036, 0.000], [0.000, 0.000, 5.599]], "species": ["Na", "Na", "In", "In", "F", "F", "F", "F", "F", "F", "F"], "frac_coords": [[0.233, 0.233, 0.000], [0.767, 0.767, 0.000], [0.227, 0.773, 0.500], [0.773, 0.227, 0.500], [0.000, 0.000, 0.269], [0.000, 0.000, 0.731], [0.000, 0.500, 0.259], [0.000, 0.500, 0.741], [0.500, 0.000, 0.259], [0.500, 0.000, 0.741], [0.500, 0.500, 0.500]]}



{"formula": "Er2TmPt", "functional": "PBE-GGA", "state": "optimized geometry", "relative_energy_ev_per_atom": 0.2478, "total_energy_ev_per_fu": -21.62, "e_form_ev_per_atom": -0.49, "lattice_angstrom": [[1.874, 1.082, 9.381], [-1.874, 1.082, 9.381], [0.000, -2.163, 9.381]], "species": ["Er", "Er", "Tm", "Pt"], "frac_coords": [[0.230, 0.230, 0.230], [0.770, 0.770, 0.770], [0.000, 0.000, 0.000], [0.500, 0.500, 0.500]]}



{"formula": "ZrAlNi", "functional": "PBE-GGA", "state": "optimized geometry", "total_energy_ev_per_fu": -17.79, "e_form_ev_per_atom": 0.09, "lattice_angstrom": [[4.606, 0.000, 0.000], [-2.303, 3.989, 0.000], [0.000, 0.000, 2.711]], "species": ["Zr", "Al", "Ni"], "frac_coords": [[0.000, 0.000, 0.000], [0.333, 0.667, 0.000], [0.667, 0.333, 0.500]]}



{"formula": "BaBe2Cd", "functional": "PBE-GGA", "state": "optimized geometry", "total_energy_ev_per_fu": -8.41, "e_form_ev_per_atom": 0.47, "lattice_angstrom": [[3.068, 0.000, 0.000], [0.000, 3.208, 0.000], [0.000, 0.000, 8.183]], "species": ["Ba", "Be", "Be", "Cd"], "frac_coords": [[0.000, 0.000, 0.000], [0.000, 0.000, 0.595], [0.500, 0.500, 0.684], [0.500, 0.500, 0.359]]}



{"formula": "PrDyPu2P4", "functional": "PBE-GGA", "state": "optimized geometry", "total_energy_ev_per_fu": -70.31, "e_form_ev_per_atom": -1.33, "lattice_angstrom": [[-2.867, 2.867, 5.716], [2.867, -2.867, 5.716], [2.867, 2.867, -5.716]], "species": ["Pr", "Dy", "Pu", "Pu", "P", "P", "P", "P"], "frac_coords": [[0.000, 0.000, 0.000], [0.500, 0.500, 0.000], [0.250, 0.750, 0.500], [0.750, 0.250, 0.500], [0.000, 0.500, 0.500], [0.255, 0.255, 0.000], [0.500, 0.000, 0.500], [0.745, 0.745, 0.000]]}



{"formula": "LaSmSc2", "functional": "PBE-GGA", "state": "optimized geometry", "relative_energy_ev_per_atom": 0.1241, "total_energy_ev_per_fu": -21.60, "e_form_ev_per_atom": 0.18, "lattice_angstrom": [[1.813, -2.843, 0.000], [1.813, 2.843, 0.000], [0.000, 0.000, 11.443]], "species": ["La", "Sm", "Sc", "Sc"], "frac_coords": [[0.000, 0.000, 0.000], [0.000, 0.000, 0.500], [0.500, 0.500, 0.254], [0.500, 0.500, 0.746]]}



{"formula": "ZnCrW2", "functional": "PBE-GGA", "state": "optimized geometry", "total_energy_ev_per_fu": -35.72, "e_form_ev_per_atom": 0.27, "lattice_angstrom": [[-1.573, 2.157, 4.298], [1.573, -2.157, 4.298], [1.573, 2.157, -4.298]], "species": ["Zn", "Cr", "W", "W"], "frac_coords": [[0.000, 0.000, 0.000], [0.249, 0.749, 0.500], [0.478, 0.478, 0.000], [0.731, 0.231, 0.500]]}



{"formula": "Hf2Os2W", "functional": "PBE-GGA", "state": "optimized geometry", "relative_energy_ev_per_atom": 0.0000, "total_energy_ev_per_fu": -56.12, "e_form_ev_per_atom": -0.16, "lattice_angstrom": [[6.542, 0.000, 0.000], [0.000, 6.542, 0.000], [0.000, 0.000, 4.351]], "species": ["Hf", "Hf", "Hf", "Hf", "Os", "Os", "Os", "Os", "W", "W"], "frac_coords": [[0.181, 0.319, 0.000], [0.319, 0.819, 0.000], [0.681, 0.181, 0.000], [0.819, 0.681, 0.000], [0.137, 0.637, 0.500], [0.363, 0.137, 0.500], [0.637, 0.863, 0.500], [0.863, 0.363, 0.500], [0.000, 0.000, 0.500], [0.500, 0.500, 0.500]]}



{"formula": "LaCeSm2", "functional": "PBE-GGA", "state": "optimized geometry", "relative_energy_ev_per_atom": 0.0063, "total_energy_ev_per_fu": -20.02, "e_form_ev_per_atom": 0.07, "lattice_angstrom": [[1.812, 1.046, 11.837], [-1.812, 1.046, 11.837], [0.000, -2.092, 11.837]], "species": ["La", "Ce", "Sm", "Sm"], "frac_coords": [[0.000, 0.000, 0.000], [0.166, 0.166, 0.166], [0.419, 0.419, 0.419], [0.582, 0.582, 0.582]]}